1.
Compound: CsY3In
Source: Alexandria
Functional: meta-GGA SCAN
Structure: PBEsol geometry

## Properties
* energy of formation: 110 kJ per mole of atoms
* total magnetic moment: 0.00 μB/f.u.
* theoretical density: 5.14 g cm⁻³

Geometry as POSCAR:
```
CsY3In
1.0
5.4982 0.0000 0.0000
0.0000 5.4982 0.0000
0.0000 0.0000 5.4982
In Y Cs
1 3 1
Cartesian
2.7491 2.7491 2.7491
2.7491 0.0000 0.0000
0.0000 2.7491 0.0000
0.0000 0.0000 2.7491
0.0000 0.0000 0.0000
```

2.
Compound: CsZr2In2
Source: Alexandria
Functional: meta-GGA SCAN
Structure: PBEsol geometry

## Properties
* energy of formation: 52 kJ per mole of atoms
* total magnetic moment: 0.00 μB/f.u.
* theoretical density: 6.47 g cm⁻³

Geometry as POSCAR:
```
CsZr2In2
1.0
4.5329 0.0000 0.0000
0.0000 4.5329 0.0000
-2.2664 -2.2664 6.8115
Zr Cs In
2 1 2
Cartesian
2.2664 2.2664 1.4770
0.0000 0.0000 5.3345
0.0000 0.0000 0.0000
0.0000 2.2664 3.4058
2.2664 0.0000 3.4058
```

3.
Compound: CsKIr3
Source: Alexandria
Functional: meta-GGA SCAN
Structure: PBEsol geometry

## Properties
* energy of formation: 276 kJ per mole of atoms
* total magnetic moment: 2.17 μB/f.u.
* theoretical density: 9.76 g cm⁻³

Geometry as POSCAR:
```
CsKIr3
1.0
5.0318 0.0000 0.0000
0.0000 5.0318 0.0000
0.0000 0.0000 5.0318
Ir Cs K
3 1 1
Cartesian
0.0000 2.5159 0.0000
0.0000 0.0000 2.5159
2.5159 0.0000 0.0000
0.0000 0.0000 0.0000
2.5159 2.5159 2.5159
```

4.
Compound: CsK2IrPb
Source: Alexandria
Functional: meta-GGA SCAN
Structure: PBEsol geometry

## Properties
* energy of formation: 33 kJ per mole of atoms
* total magnetic moment: 0.00 μB/f.u.
* theoretical density: 4.70 g cm⁻³

Geometry as POSCAR:
```
CsK2IrPb
1.0
5.1104 0.0000 0.0000
0.0000 6.4959 0.0000
0.0000 0.0000 6.4959
K Pb Cs Ir
2 1 1 1
Cartesian
0.0000 0.0000 3.2479
0.0000 3.2479 0.0000
0.0000 0.0000 0.0000
2.5552 3.2479 3.2479
2.5552 0.0000 0.0000
```

5.
Compound: CsLi3Ir
Source: Alexandria
Functional: meta-GGA SCAN
Structure: PBEsol geometry

## Properties
* energy of formation: 27 kJ per mole of atoms
* total magnetic moment: 0.00 μB/f.u.
* theoretical density: 4.75 g cm⁻³

Geometry as POSCAR:
```
CsLi3Ir
1.0
-3.9674 -2.2685 -1.8848
0.3526 -3.5014 3.4720
-2.9282 2.6520 2.9718
Li Ir Cs
3 1 1
Cartesian
-1.9837 -1.1343 -0.9424
0.1763 -1.7507 1.7360
-1.4641 1.3260 1.4859
0.0000 0.0000 0.0000
-3.2715 -1.5590 2.2795
```

6.
Compound: Cs2LiIr
Source: Alexandria
Functional: meta-GGA SCAN
Structure: PBEsol geometry

## Properties
* energy of formation: 116 kJ per mole of atoms
* total magnetic moment: 0.02 μB/f.u.
* theoretical density: 3.01 g cm⁻³

Geometry as POSCAR:
```
Cs2LiIr
1.0
8.9854 0.0000 0.0000
4.4927 7.7816 0.0000
4.4927 2.5939 7.3366
Cs Ir Li
4 2 2
Cartesian
8.9854 5.1877 0.9171
6.7391 6.4847 4.5853
11.2318 6.4847 4.5853
8.9854 2.5939 4.5853
8.9854 5.1877 3.6683
13.4781 7.7816 5.5024
4.4927 2.5939 1.8341
0.0000 0.0000 0.0000
```

7.
Compound: CsSrLi2Ir
Source: Alexandria
Functional: meta-GGA SCAN
Structure: PBEsol geometry

## Properties
* energy of formation: 136 kJ per mole of atoms
* total magnetic moment: 0.00 μB/f.u.
* theoretical density: 5.43 g cm⁻³

Geometry as POSCAR:
```
CsSrLi2Ir
1.0
-0.2070 3.2027 3.3878
-3.8996 -1.9775 1.6311
3.2798 -3.5412 3.5481
Li Sr Ir Cs
2 1 1 1
Cartesian
-0.1035 1.6014 1.6939
-1.9498 -0.9887 0.8155
1.6399 -1.7706 1.7741
-0.4134 -1.1580 4.2835
0.0000 0.0000 0.0000
```

8.
Compound: CsLiTc2Ir
Source: Alexandria
Functional: meta-GGA SCAN
Structure: PBEsol geometry

## Properties
* energy of formation: 280 kJ per mole of atoms
* total magnetic moment: 3.11 μB/f.u.
* theoretical density: 8.90 g cm⁻³

Geometry as POSCAR:
```
CsLiTc2Ir
1.0
-1.0158 -3.5499 2.2156
0.8195 -2.6618 -3.8892
4.5758 -0.4958 1.3035
Tc Ir Li Cs
2 1 1 1
Cartesian
2.2879 -0.2479 0.6518
0.4098 -1.3309 -1.9446
2.1898 -3.3538 -0.1851
-0.5079 -1.7749 1.1078
0.0000 0.0000 0.0000
```

9.
Compound: Cs3MnIr
Source: Alexandria
Functional: meta-GGA SCAN
Structure: PBEsol geometry

## Properties
* energy of formation: 99 kJ per mole of atoms
* total magnetic moment: 6.11 μB/f.u.
* theoretical density: 4.76 g cm⁻³

Geometry as POSCAR:
```
Cs3MnIr
1.0
-3.5181 -4.6025 -1.8569
4.9611 -3.1991 -1.4702
0.1358 -2.3646 5.6035
Cs Ir Mn
3 1 1
Cartesian
2.4806 -1.5996 -0.7351
-1.7591 -2.3013 -0.9285
0.0679 -1.1823 2.8018
0.0000 0.0000 0.0000
0.7894 -5.0831 1.1382
```

10.
Compound: CsMo3Ir
Source: Alexandria
Functional: meta-GGA SCAN
Structure: PBEsol geometry

## Properties
* energy of formation: 361 kJ per mole of atoms
* total magnetic moment: 0.00 μB/f.u.
* theoretical density: 9.60 g cm⁻³

Geometry as POSCAR:
```
CsMo3Ir
1.0
4.7337 0.0000 0.0000
0.0000 4.7337 0.0000
0.0000 0.0000 4.7337
Mo Cs Ir
3 1 1
Cartesian
2.3668 0.0000 0.0000
0.0000 0.0000 2.3668
0.0000 2.3668 0.0000
0.0000 0.0000 0.0000
2.3668 2.3668 2.3668
```

11.
Compound: CsIrN2
Source: Alexandria
Functional: meta-GGA SCAN
Structure: PBEsol geometry

## Properties
* offset from the most stable computed form: 226.8 kJ per mole of atoms
* total magnetic moment: 0.00 μB/f.u.
* theoretical density: 10.64 g cm⁻³
* energy relative to the elements, uncorrected: 2.636 eV per atom

Geometry as POSCAR:
```
CsIrN2
1.0
-3.6191 2.2697 0.0503
-3.6899 -1.8858 1.0394
-1.8948 0.9172 3.7176
N Cs Ir
2 1 1
Cartesian
-6.9028 0.9758 3.6055
-2.3009 0.3253 1.2018
0.0000 0.0000 0.0000
-4.6019 0.6505 2.4037
```

12.
Compound: Cs3IrN
Source: Alexandria
Functional: meta-GGA SCAN
Structure: PBEsol geometry

## Properties
* total magnetic moment: 1.81 μB/f.u.
* theoretical density: 5.01 g cm⁻³
* energy relative to the elements, uncorrected: 1.326 eV per atom

Geometry as POSCAR:
```
Cs3IrN
1.0
5.8526 0.0000 0.0000
0.0000 5.8526 0.0000
0.0000 0.0000 5.8526
Ir Cs N
1 3 1
Cartesian
0.0000 0.0000 0.0000
0.0000 2.9263 0.0000
0.0000 0.0000 2.9263
2.9263 0.0000 0.0000
2.9263 2.9263 2.9263
```

13.
Compound: CsIrN2
Source: Alexandria
Functional: meta-GGA SCAN
Structure: PBEsol geometry

## Properties
* offset from the most stable computed form: 0.0 kJ per mole of atoms
* total magnetic moment: 0.00 μB/f.u.
* theoretical density: 7.80 g cm⁻³
* energy relative to the elements, uncorrected: 0.286 eV per atom

Geometry as POSCAR:
```
CsIrN2
1.0
-5.4900 -1.1433 1.7289
1.8249 -2.8272 -4.8076
4.2635 -1.8450 3.5854
Cs N Ir
2 4 2
Cartesian
3.0442 -2.3361 -0.6111
0.9088 -2.6623 2.3516
-0.1339 -4.7855 -0.9025
-1.8948 -3.3354 -2.8646
1.0351 -2.6893 -3.0928
-0.2482 -1.8032 -0.5195
0.0000 0.0000 0.0000
-0.3105 -3.1534 -1.8449
```

14.
Compound: CsNbIr2
Source: Alexandria
Functional: meta-GGA SCAN
Structure: PBEsol geometry

## Properties
* energy of formation: 135 kJ per mole of atoms
* total magnetic moment: 0.00 μB/f.u.
* theoretical density: 13.24 g cm⁻³

Geometry as POSCAR:
```
CsNbIr2
1.0
4.7653 0.0000 0.0000
2.3827 4.1269 0.0000
2.3827 1.3756 3.8909
Ir Cs Nb
2 1 1
Cartesian
7.1480 4.1269 2.9182
2.3827 1.3756 0.9727
4.7653 2.7513 1.9454
0.0000 0.0000 0.0000
```

15.
Compound: Cs3IrO
Source: Alexandria
Functional: meta-GGA SCAN
Structure: PBEsol geometry

## Properties
* total magnetic moment: 0.59 μB/f.u.
* theoretical density: 5.28 g cm⁻³
* energy relative to the elements, uncorrected: 0.600 eV per atom

Geometry as POSCAR:
```
Cs3IrO
1.0
-1.6754 1.8424 5.1912
-5.5080 -0.6280 -1.5547
0.0687 -5.4185 1.9453
Ir Cs O
1 3 1
Cartesian
0.0000 0.0000 0.0000
-0.8377 0.9212 2.5956
-2.7540 -0.3140 -0.7774
0.0343 -2.7093 0.9726
-3.5573 -2.1021 2.7909
```

16.
Compound: Cs4IrO4
Source: Alexandria
Functional: meta-GGA SCAN
Structure: PBEsol geometry

## Properties
* total magnetic moment: 3.00 μB/f.u.
* theoretical density: 6.05 g cm⁻³
* energy relative to the elements, uncorrected: -1.345 eV per atom

Geometry as POSCAR:
```
Cs4IrO4
1.0
6.1406 -0.0023 -0.0001
2.5344 5.5932 -0.0001
1.8058 1.1638 6.2968
O Cs Ir
4 4 1
Cartesian
4.7843 0.7390 1.1437
5.6965 6.0156 5.1528
2.6493 4.0518 1.1437
7.8315 2.7029 5.1528
8.0932 5.2159 3.7035
2.3876 1.5388 2.5930
4.8552 3.1291 5.3255
5.6256 3.6256 0.9710
0.0000 0.0000 0.0000
```

17.
Compound: CsPIr2Pt
Source: Alexandria
Functional: meta-GGA SCAN
Structure: PBEsol geometry

## Properties
* energy of formation: 180 kJ per mole of atoms
* total magnetic moment: 2.53 μB/f.u.
* theoretical density: 8.99 g cm⁻³

Geometry as POSCAR:
```
CsPIr2Pt
1.0
4.7564 0.0000 0.0000
0.0000 4.7564 0.0000
0.0000 0.0000 6.0685
Pt Ir P Cs
1 2 1 1
Cartesian
0.0000 0.0000 0.0000
2.3782 0.0000 0.0000
0.0000 2.3782 0.0000
2.3782 2.3782 3.0342
0.0000 0.0000 3.0342
```

18.
Compound: Cs2IrPdRu
Source: Alexandria
Functional: meta-GGA SCAN
Structure: PBEsol geometry

## Properties
* energy of formation: 171 kJ per mole of atoms
* total magnetic moment: 2.00 μB/f.u.
* theoretical density: 7.28 g cm⁻³

Geometry as POSCAR:
```
Cs2IrPdRu
1.0
4.6952 0.0000 0.0000
0.0000 5.6867 0.0000
0.0000 0.0000 5.6867
Pd Cs Ru Ir
1 2 1 1
Cartesian
2.3476 0.0000 0.0000
0.0000 0.0000 2.8434
0.0000 2.8434 0.0000
0.0000 0.0000 0.0000
2.3476 2.8434 2.8434
```

19.
Compound: Cs3IrPt
Source: Alexandria
Functional: meta-GGA SCAN
Structure: PBEsol geometry

## Properties
* energy of formation: 83 kJ per mole of atoms
* total magnetic moment: 1.84 μB/f.u.
* theoretical density: 5.52 g cm⁻³

Geometry as POSCAR:
```
Cs3IrPt
1.0
-0.3293 -4.2571 -4.4730
1.3275 -4.4235 4.1122
-6.0306 -0.7413 1.1495
Cs Ir Pt
3 1 1
Cartesian
-3.0153 -0.3706 0.5747
0.6638 -2.2117 2.0561
-0.1647 -2.1285 -2.2365
-2.5162 -4.7109 0.3943
0.0000 0.0000 0.0000
```

20.
Compound: CsRb2IrPt
Source: Alexandria
Functional: meta-GGA SCAN
Structure: PBEsol geometry

## Properties
* energy of formation: 136 kJ per mole of atoms
* total magnetic moment: 1.63 μB/f.u.
* theoretical density: 4.80 g cm⁻³

Geometry as POSCAR:
```
CsRb2IrPt
1.0
5.2804 0.0000 0.0000
0.0000 6.7299 0.0000
0.0000 0.0000 6.7299
Pt Rb Cs Ir
1 2 1 1
Cartesian
2.6402 0.0000 0.0000
0.0000 3.3650 0.0000
0.0000 0.0000 3.3650
0.0000 0.0000 0.0000
2.6402 3.3650 3.3650
```